Entry 1:
# Cs2RbMg2 PBE-GGA optimized geometry
# Energy of formation   0.29 eV/atom
# Fermi-level density of states   5.3 states/eV/f.u.
# Offset from the most stable computed form   0.080 eV per atom
data_Cs2RbMg2
_space_group_name_H-M_alt 'P 4/m b m'
_space_group_IT_number 127
_space_group_name_Hall '-P 4 2ab'
_cell_length_a 11.856
_cell_length_b 11.856
_cell_length_c 4.484
_cell_angle_alpha 90.00
_cell_angle_beta 90.00
_cell_angle_gamma 90.00
loop_
_atom_site_label
_atom_site_type_symbol
_atom_site_fract_x
_atom_site_fract_y
_atom_site_fract_z
_atom_site_occupancy
Cs1 Cs 0.138 0.362 0.000 1
Rb1 Rb 0.000 0.000 0.000 1
Mg1 Mg 0.157 0.657 0.500 1



Entry 2:
# ZrAgCl PBE-GGA optimized geometry
# Formation energy without anion corrections   -0.65 eV/f.u.
# Fermi-level density of states   3.0 states/eV/f.u.
# Offset from the most stable computed form   0.401 eV per atom
data_ZrAgCl
_space_group_name_H-M_alt 'P -6 m 2'
_space_group_IT_number 187
_space_group_name_Hall 'P -6 2'
_cell_length_a 4.6115
_cell_length_b 4.6115
_cell_length_c 3.2685
_cell_angle_alpha 90.00
_cell_angle_beta 90.00
_cell_angle_gamma 120.00
loop_
_atom_site_label
_atom_site_type_symbol
_atom_site_fract_x
_atom_site_fract_y
_atom_site_fract_z
_atom_site_occupancy
Zr1 Zr 0.0000 0.0000 0.0000 1
Ag1 Ag 0.3333 0.6667 0.5000 1
Cl1 Cl 0.6667 0.3333 0.0000 1